DFT (GGA-PBE) results for a relaxed structure of LaCd2Ru.

- Energy of formation: -0.3 eV per formula unit
- E_tot: -4.076 eV per atom
- Crystal system: monoclinic
- Space group: No. 8
- Density: 7.6 g/cm³

abc: 4.900 4.900 5.680
angles: 116.11 116.11 59.30
Positions (direct):
La 0.000 0.000 0.000
Cd 0.213 0.213 0.653
Cd 0.470 0.470 0.421
Ru 0.827 0.827 0.497

---

DFT (GGA-PBE) results for a relaxed structure of LaCdRu2.

- Energy of formation: 0.7 eV per formula unit
- E_tot: -5.916 eV per atom
- Crystal system: tetragonal
- Space group: No. 123
- Density: 9.7 g/cm³

abc: 4.568 4.568 3.723
angles: 90.00 90.00 90.00
Positions (direct):
La 0.000 0.000 0.000
Cd 0.500 0.500 0.000
Ru 0.000 0.500 0.500
Ru 0.500 0.000 0.500